Entry 1:
VASP calculation (GGA-PBE) on a relaxed structure of Ti3BeAs.

- Energy of formation: 0.04 eV per atom
- Space group: No. 221
- Total magnetization: 0.0 μB/cell
- Crystal system: cubic
- Distance to the lowest polymorph of the same formula: 0 meV per atom

a = 4.312 Å, b = 4.312 Å, c = 4.312 Å
α = 90.00°, β = 90.00°, γ = 90.00°
Fractional positions:
Be 0.000 0.000 0.000
As 0.500 0.500 0.500
Ti 0.000 0.500 0.000
Ti 0.000 0.000 0.500
Ti 0.500 0.000 0.000


Entry 2:
VASP calculation (GGA-PBE) on a relaxed structure of Er4TmSc15.

- Energy of formation: 0.06 eV per atom
- Space group: No. 123
- Total magnetization: 0.0 μB/cell
- Crystal system: tetragonal

a = 4.694 Å, b = 4.694 Å, c = 23.506 Å
α = 90.00°, β = 90.00°, γ = 90.00°
Fractional positions:
Er 0.000 0.000 0.200
Er 0.000 0.000 0.400
Er 0.000 0.000 0.600
Er 0.000 0.000 0.800
Tm 0.000 0.000 0.000
Sc 0.500 0.500 0.000
Sc 0.500 0.500 0.200
Sc 0.500 0.500 0.400
Sc 0.500 0.500 0.600
Sc 0.500 0.500 0.800
Sc 0.500 0.000 0.100
Sc 0.500 0.000 0.300
Sc 0.500 0.000 0.500
Sc 0.500 0.000 0.700
Sc 0.500 0.000 0.900
Sc 0.000 0.500 0.100
Sc 0.000 0.500 0.300
Sc 0.000 0.500 0.500
Sc 0.000 0.500 0.700
Sc 0.000 0.500 0.900


Entry 3:
VASP calculation (GGA-PBE) on a relaxed structure of ZnRe2Ir.

- Energy of formation: 0.00 eV per atom
- Space group: No. 160
- Total magnetization: 0.0 μB/cell
- Crystal system: trigonal
- Distance to the lowest polymorph of the same formula: 0 meV per atom

a = 8.994 Å, b = 8.994 Å, c = 8.994 Å
α = 17.74°, β = 17.74°, γ = 17.74°
Fractional positions:
Ir 0.750 0.750 0.750
Re 0.000 0.000 0.000
Re 0.252 0.252 0.252
Zn 0.499 0.499 0.499